Crystalline NiBI3 at its relaxed geometry. Source: Alexandria, functional PBE-GGA.

Output
formation energy without anion corrections	5.04	eV/f.u.
crystal system	cubic

a b c (Å): 5.286 5.286 5.286
angles (deg): 90.00 90.00 90.00
Space group Pm-3m (No. 221)
Symmetry-distinct sites (fractional):
Ni: 0.000 0.000 0.000 (multiplicity 1)
B: 0.500 0.500 0.500 (multiplicity 1)
I: 0.000 0.000 0.500 (multiplicity 3)

***

Crystalline BaH2Cl at its relaxed geometry. Source: Alexandria, functional PBE-GGA.

Output
VASP energy	-3.440	eV per atom
crystal system	orthorhombic

a b c (Å): 3.927 4.943 5.300
angles (deg): 90.00 90.00 90.00
Space group Pmmm (No. 47)
Symmetry-distinct sites (fractional):
Ba: 0.000 0.000 0.000 (multiplicity 1)
H: 0.106 0.000 0.500 (multiplicity 2)
Cl: 0.500 0.500 0.000 (multiplicity 1)

***

Crystalline Er3TeRh at its relaxed geometry. Source: Alexandria, functional PBE-GGA.

Output
formation energy without anion corrections	-4.52	eV/f.u.
crystal system	orthorhombic

a b c (Å): 7.533 4.218 16.538
angles (deg): 90.00 90.00 90.00
Space group Pnma (No. 62)
Symmetry-distinct sites (fractional):
Er: 0.015 0.250 0.092 (multiplicity 4)
Er: 0.138 0.750 0.448 (multiplicity 4)
Er: 0.179 0.250 0.706 (multiplicity 4)
Te: 0.122 0.250 0.300 (multiplicity 4)
Rh: 0.239 0.750 0.042 (multiplicity 4)

***

Crystalline Pm2AgIr at its relaxed geometry. Source: Alexandria, functional PBE-GGA.

Output
ΔE_f	-0.471	eV per atom
crystal system	cubic

a b c (Å): 7.217 7.217 7.217
angles (deg): 90.00 90.00 90.00
Space group Fm-3m (No. 225)
Symmetry-distinct sites (fractional):
Pm: 0.250 0.250 0.250 (multiplicity 8)
Ag: 0.000 0.000 0.000 (multiplicity 4)
Ir: 0.000 0.000 0.500 (multiplicity 4)

***

Crystalline LiIn2Hg at its relaxed geometry. Source: Alexandria, functional PBE-GGA.

Output
ΔE_f	-0.118	eV per atom
crystal system	orthorhombic

a b c (Å): 3.511 4.286 6.193
angles (deg): 90.00 90.00 90.00
Space group Pmmm (No. 47)
Symmetry-distinct sites (fractional):
Li: 0.000 0.000 0.000 (multiplicity 1)
In: 0.500 0.500 0.244 (multiplicity 2)
Hg: 0.000 0.000 0.500 (multiplicity 1)

***

Crystalline CaLaSb at its relaxed geometry. Source: Alexandria, functional PBE-GGA.

Output
formation energy without anion corrections	-1.86	eV/f.u.
crystal system	trigonal

a b c (Å): 5.1112 5.1112 4.3901
angles (deg): 90.00 90.00 120.00
Space group P3m1 (No. 156)
Symmetry-distinct sites (fractional):
Ca: 0.0000 0.0000 0.0000 (multiplicity 1)
La: 0.6667 0.3333 0.4748 (multiplicity 1)
Sb: 0.3333 0.6667 0.8969 (multiplicity 1)

***

Crystalline Pm5Ho4Tm2 at its relaxed geometry. Source: Alexandria, functional PBE-GGA.

Output
ΔE_f	0.163	eV per atom
crystal system	monoclinic

a b c (Å): 11.780 7.045 9.009
angles (deg): 90.00 103.20 90.00
Space group C2/m (No. 12)
Symmetry-distinct sites (fractional):
Pm: 0.000 0.000 0.000 (multiplicity 2)
Pm: 0.054 0.278 0.322 (multiplicity 8)
Ho: 0.154 0.500 0.000 (multiplicity 4)
Ho: 0.208 0.500 0.653 (multiplicity 4)
Tm: 0.170 0.000 0.652 (multiplicity 4)

***

Crystalline Na3BeB2O6 at its relaxed geometry. Source: Alexandria, functional PBE-GGA.

Output
formation energy without anion corrections	-23.42	eV/f.u.
crystal system	trigonal

a b c (Å): 5.0058 5.0058 5.8922
angles (deg): 90.00 90.00 120.00
Space group P-3m1 (No. 164)
Symmetry-distinct sites (fractional):
Na: 0.0000 0.0000 0.0000 (multiplicity 1)
Na: 0.3333 0.6667 0.7305 (multiplicity 2)
Be: 0.0000 0.0000 0.5000 (multiplicity 1)
B: 0.3333 0.6667 0.3005 (multiplicity 2)
O: 0.1745 0.3489 0.3011 (multiplicity 6)

***

Crystalline LiZnI2 at its relaxed geometry. Source: Alexandria, functional PBE-GGA.

Output
formation energy without anion corrections	-1.19	eV/f.u.
crystal system	cubic

a b c (Å): 7.711 7.711 7.711
angles (deg): 90.00 90.00 90.00
Space group Fm-3m (No. 225)
Symmetry-distinct sites (fractional):
Li: 0.000 0.000 0.000 (multiplicity 4)
Zn: 0.000 0.000 0.500 (multiplicity 4)
I: 0.250 0.250 0.250 (multiplicity 8)

***

Crystalline CeNd2Gd at its relaxed geometry. Source: Alexandria, functional PBE-GGA.

Output
ΔE_f	0.173	eV per atom
crystal system	cubic

a b c (Å): 8.165 8.165 8.165
angles (deg): 90.00 90.00 90.00
Space group Fm-3m (No. 225)
Symmetry-distinct sites (fractional):
Ce: 0.000 0.000 0.000 (multiplicity 4)
Nd: 0.250 0.250 0.250 (multiplicity 8)
Gd: 0.000 0.000 0.500 (multiplicity 4)

***

Crystalline KTl12Cd6 at its relaxed geometry. Source: Alexandria, functional PBE-GGA.

Output
ΔE_f	0.046	eV per atom
crystal system	trigonal

a b c (Å): 14.2541 14.2541 10.2288
angles (deg): 90.00 90.00 120.00
Space group R-3m (No. 166, hexagonal axes)
Symmetry-distinct sites (fractional):
K: 0.0000 0.0000 0.0000 (multiplicity 3)
Tl: 0.0000 0.3836 0.5000 (multiplicity 18)
Tl: 0.0824 0.1647 0.3077 (multiplicity 18)
Cd: 0.0497 0.5248 0.2381 (multiplicity 18)

***

Crystalline SrTlCl at its relaxed geometry. Source: Alexandria, functional PBE-GGA.

Output
formation energy without anion corrections	-3.90	eV/f.u.
crystal system	trigonal

a b c (Å): 4.9073 4.9073 27.8896
angles (deg): 90.00 90.00 120.00
Space group R-3m (No. 166, hexagonal axes)
Symmetry-distinct sites (fractional):
Sr: 0.0000 0.0000 0.0918 (multiplicity 6)
Tl: 0.0000 0.0000 0.3486 (multiplicity 6)
Cl: 0.0000 0.0000 0.2029 (multiplicity 6)